# 1
First-principles (PBE-GGA) data for FeCoAs2 after structural relaxation, as listed in Alexandria via LeMat-Bulk.

Structure (POSCAR):
```
FeCoAs2
1.0
5.077 -0.054 0.000
2.658 4.326 0.000
-3.867 -2.136 2.502
As Fe Co
2 1 1
Direct
0.000 0.000 0.000
0.250 0.750 0.500
0.750 0.250 0.500
0.500 0.500 0.000
```

Summary:
Space group = No. 119
Energy relative to the elements = 0.216 eV per atom
Crystal system = tetragonal

---

# 2
First-principles (PBE-GGA) data for Cs3TiO after structural relaxation, as listed in Alexandria via LeMat-Bulk.

Structure (POSCAR):
```
Cs3TiO
1.0
-3.167 2.398 4.634
-4.829 -3.401 -1.540
1.977 -4.465 3.662
Ti Cs O
1 3 1
Direct
0.500 0.500 0.500
0.000 0.500 0.000
0.000 0.000 0.500
0.500 0.000 0.000
0.000 0.000 0.000
```

Summary:
Space group = No. 221
Crystal system = cubic

---

# 3
First-principles (PBE-GGA) data for TiMn3Bi after structural relaxation, as listed in Alexandria via LeMat-Bulk.

Structure (POSCAR):
```
TiMn3Bi
1.0
-3.882 1.804 -1.768
0.184 -3.032 -3.496
-2.519 -3.001 2.470
Mn Ti Bi
3 1 1
Direct
0.000 0.500 0.000
0.000 0.000 0.500
0.500 0.000 0.000
0.000 0.000 0.000
0.500 0.500 0.500
```

Summary:
Space group = No. 221
Energy relative to the elements = 0.899 eV per atom
Crystal system = cubic

---

# 4
First-principles (PBE-GGA) data for MoPt2Br after structural relaxation, as listed in Alexandria via LeMat-Bulk.

Structure (POSCAR):
```
MoPt2Br
1.0
-2.179 -0.100 4.008
-0.312 -3.877 -0.266
3.411 -0.401 1.844
Pt Br Mo
2 1 1
Direct
0.000 0.500 0.500
0.000 0.000 0.000
0.500 0.500 0.000
0.500 0.000 0.500
```

Summary:
Space group = No. 123
Crystal system = tetragonal

---

# 5
First-principles (PBE-GGA) data for KCoIr3 after structural relaxation, as listed in Alexandria via LeMat-Bulk.

Structure (POSCAR):
```
KCoIr3
1.0
-1.711 -3.999 -1.576
-0.236 -1.607 4.332
-4.292 1.682 0.390
Co K Ir
1 1 3
Direct
0.500 0.500 0.500
0.000 0.000 0.000
0.000 0.500 0.000
0.500 0.000 0.000
0.000 0.000 0.500
```

Summary:
Space group = No. 221
Energy relative to the elements = 3.532 eV per atom
Crystal system = cubic

---

# 6
First-principles (PBE-GGA) data for NpSbC after structural relaxation, as listed in Alexandria via LeMat-Bulk.

Structure (POSCAR):
```
NpSbC
1.0
-0.612 -3.157 -1.727
1.358 -1.575 2.399
-7.863 -1.516 5.556
Sb C Np
2 2 2
Direct
0.250 0.176 0.648
0.750 0.824 0.352
0.750 0.432 0.136
0.250 0.568 0.864
0.750 0.042 0.916
0.250 0.958 0.084
```

Summary:
Space group = No. 63
Crystal system = orthorhombic

---

# 7
First-principles (PBE-GGA) data for MoRuW2 after structural relaxation, as listed in Alexandria via LeMat-Bulk.

Structure (POSCAR):
```
MoRuW2
1.0
2.746 0.000 0.000
0.000 4.005 0.000
0.000 0.000 5.702
Ru W Mo
1 2 1
Direct
0.500 0.500 0.750
0.000 0.000 0.991
0.500 0.500 0.251
0.000 0.000 0.508
```

Summary:
Space group = No. 25
Energy relative to the elements = 0.236 eV per atom
Crystal system = orthorhombic

---

# 8
First-principles (PBE-GGA) data for KIn7Hg12 after structural relaxation, as listed in Alexandria via LeMat-Bulk.

Structure (POSCAR):
```
KIn7Hg12
1.0
-6.272 1.582 -6.935
-2.082 -8.170 4.343
-0.369 7.100 6.277
Hg K In
12 1 7
Direct
0.658 0.227 0.884
0.431 0.658 0.773
0.227 0.569 0.342
0.116 0.342 0.773
0.342 0.227 0.569
0.773 0.431 0.658
0.884 0.658 0.227
0.227 0.884 0.658
0.658 0.773 0.431
0.773 0.116 0.342
0.342 0.773 0.116
0.569 0.342 0.227
0.000 0.000 0.000
0.500 0.500 0.500
0.500 0.000 0.500
0.000 0.000 0.500
0.500 0.000 0.000
0.000 0.500 0.000
0.000 0.500 0.500
0.500 0.500 0.000
```

Summary:
Space group = No. 204
Energy relative to the elements = 0.055 eV per atom
Crystal system = cubic

---

Energy / eV per atom: -6.001; -2.848; -6.958; -5.385; -3.426; -8.260; -11.268; -1.140